Compound: Nd2AlInPd6
Source: Alexandria
Functional: PBE
Structure: relaxed

Lattice parameters (Å, degrees): 5.613 6.492 6.729 73.42 65.42 64.47
Space group P-1 (No. 2)
One atom of each set of equivalent atoms:
Nd1 0.000 0.249 0.251 x2
Al1 0.500 0.000 0.500 x1
In1 0.500 0.500 0.000 x1
Pd1 0.015 0.186 0.791 x2
Pd2 0.320 0.426 0.435 x2
Pd3 0.492 0.815 0.209 x2

Summary:
M_tot (μB per atom): 0.000
ΔH_f (0 K) (eV/atom): -0.6636
DOS(E_F) (states/eV/atom): 0.34

=====

Compound: KNb2GeSb
Source: Alexandria
Functional: PBE
Structure: relaxed

Lattice parameters (Å, degrees): 4.957 4.957 5.484 90.00 90.00 90.00
Space group P4/mmm (No. 123)
One atom of each set of equivalent atoms:
K1 0.000 0.000 0.000 x1
Nb1 0.000 0.500 0.500 x2
Ge1 0.000 0.000 0.500 x1
Sb1 0.500 0.500 0.000 x1

Summary:
M_tot (μB per atom): 0.420
Uncorrected energy (eV/cell): -25.51
DOS(E_F) (states/eV/atom): 0.94

=====

Compound: SrTl2Ru
Source: Alexandria
Functional: PBE
Structure: relaxed

Lattice parameters (Å, degrees): 4.6691 4.6691 17.1714 90.00 90.00 120.00
Space group R-3m (No. 166, hexagonal axes)
One atom of each set of equivalent atoms:
Sr1 0.0000 0.0000 0.0000 x3
Tl1 0.0000 0.0000 0.2165 x6
Ru1 0.0000 0.0000 0.5000 x3

Summary:
M_tot (μB per atom): 0.000
ΔH_f (0 K) (eV/atom): 0.1311
DOS(E_F) (states/eV/atom): 0.70

=====

Compound: CaMnTe2
Source: Alexandria
Functional: PBE
Structure: relaxed

Lattice parameters (Å, degrees): 4.333 6.527 8.193 90.00 90.00 90.00
Space group Immm (No. 71)
One atom of each set of equivalent atoms:
Ca1 0.000 0.000 0.000 x2
Mn1 0.000 0.000 0.500 x2
Te1 0.000 0.500 0.217 x4

Summary:
M_tot (μB per atom): 1.198
Uncorrected energy (eV/cell): -39.25
DOS(E_F) (states/eV/atom): 0.37

=====

Compound: KTc2Hg
Source: Alexandria
Functional: PBE
Structure: relaxed

Lattice parameters (Å, degrees): 3.941 3.941 5.088 90.00 90.00 90.00
Space group P4/mmm (No. 123)
One atom of each set of equivalent atoms:
K1 0.000 0.000 0.000 x1
Tc1 0.000 0.500 0.500 x2
Hg1 0.500 0.500 0.000 x1

Summary:
M_tot (μB per atom): 0.001
ΔH_f (0 K) (eV/atom): 1.3695
DOS(E_F) (states/eV/atom): 1.30

=====

Compound: ZrB2I2
Source: Alexandria
Functional: PBE
Structure: relaxed

Lattice parameters (Å, degrees): 7.774 7.774 3.358 90.00 90.00 90.00
Space group P4/mbm (No. 127)
One atom of each set of equivalent atoms:
Zr1 0.000 0.000 0.000 x2
B1 0.209 0.291 0.500 x4
I1 0.146 0.646 0.000 x4

Summary:
M_tot (μB per atom): 0.000
Uncorrected energy (eV/cell): -36.94
DOS(E_F) (states/eV/atom): 0.39

=====

Compound: Pm5PrPb4
Source: Alexandria
Functional: PBE
Structure: relaxed

Lattice parameters (Å, degrees): 16.693 5.550 7.359 90.00 90.31 90.00
Space group C2/m (No. 12)
One atom of each set of equivalent atoms:
Pm1 0.000 0.000 0.000 x2
Pm2 0.166 0.500 0.492 x4
Pm3 0.167 0.500 0.010 x4
Pr1 0.000 0.000 0.500 x2
Pb1 0.009 0.500 0.753 x4
Pb2 0.177 0.000 0.249 x4

Summary:
M_tot (μB per atom): 0.000
ΔH_f (0 K) (eV/atom): -0.3890
DOS(E_F) (states/eV/atom): 0.68

=====

Compound: CeGa3Ru
Source: Alexandria
Functional: PBE
Structure: relaxed

Lattice parameters (Å, degrees): 6.494 6.494 6.494 90.00 90.00 90.00
Space group Pm-3m (No. 221)
One atom of each set of equivalent atoms:
Ce1 0.000 0.000 0.500 x3
Ga1 0.000 0.000 0.000 x1
Ga2 0.292 0.292 0.292 x8
Ru1 0.000 0.500 0.500 x3

Summary:
M_tot (μB per atom): 0.016
ΔH_f (0 K) (eV/atom): -0.5843
DOS(E_F) (states/eV/atom): 0.74

=====

Question: M_tot of number 4 (CaMnTe2)?
Answer: 1.198 μB per atom

=====

Question: Look up the DOS(E_F) of the seventh one.
Answer: 0.68 states/eV/atom

=====

Question: Which of these has the highest M_tot?
Answer: CaMnTe2